No. 1
The following is a DFT calculation (PBE) of a relaxed structure of PrHoMg.

Structure (extended XYZ):
```
6
Lattice="-3.0012 -3.5192 0.8595 3.5332 -3.0900 -0.3143 1.4448 0.8039 8.3368" Properties=species:S:1:pos:R:3 pbc="T T T"
Pr -0.5451 -1.2279 5.9431
Ho -1.1350 -1.5561 2.5396
Mg 0.0000 0.0000 0.0000
Pr 2.2559 -1.2727 2.6663
Mg 0.2660 -3.3046 0.2726
Ho 2.8457 -0.9445 6.0697
```

Results
space group	No. 129
total DFT energy (no corrections)	-3.459	eV per atom
offset from the most stable computed form	0.2394	eV/atom
formation enthalpy at 0 K	191.6	meV/atom
total moment	0.00	Bohr magnetons per cell


No. 2
The following is a DFT calculation (PBE) of a relaxed structure of PrHoMg.

Structure (extended XYZ):
```
3
Lattice="-3.5081 0.8960 0.9781 -0.7993 -3.6349 0.4633 3.9803 1.7575 5.4754" Properties=species:S:1:pos:R:3 pbc="T T T"
Ho 0.0425 0.0090 0.1441
Pr 1.1930 0.2535 4.0466
Mg -1.5625 -1.2438 2.7260
```

Results
space group	No. 107
total DFT energy (no corrections)	-3.693	eV per atom
offset from the most stable computed form	0.0054	eV/atom
formation enthalpy at 0 K	-42.3	meV/atom
total moment	0.15	Bohr magnetons per cell


No. 3
The following is a DFT calculation (PBE) of a relaxed structure of PrHoMg3.

Structure (extended XYZ):
```
10
Lattice="7.2690 -0.2266 -0.1627 3.2170 6.5223 -0.1627 3.2170 1.9314 6.2319" Properties=species:S:1:pos:R:3 pbc="T T T"
Ho 12.3923 7.4403 5.3416
Mg 2.5733 3.6068 1.3603
Mg 9.3098 6.7542 5.7959
Mg 3.3652 1.1233 2.9825
Mg 4.3931 1.4730 0.1106
Ho 1.3106 0.7869 0.5649
Pr 5.5919 3.3574 2.4104
Mg 10.3377 7.1039 2.9241
Mg 11.1296 4.6204 4.5463
Pr 8.1110 4.8698 3.4962
```

Results
space group	No. 148
total DFT energy (no corrections)	-2.474	eV per atom
formation enthalpy at 0 K	354.5	meV/atom
total moment	0.00	Bohr magnetons per cell


No. 4
The following is a DFT calculation (PBE) of a relaxed structure of Pr8Ho4Mg.

Structure (extended XYZ):
```
13
Lattice="6.3541 -0.0005 -3.4281 -4.1016 5.9417 -0.0005 1.6953 1.1711 10.7451" Properties=species:S:1:pos:R:3 pbc="T T T"
Pr -2.5290 4.8969 2.9146
Ho -2.0508 2.9708 -0.0002
Pr 1.2811 5.2714 6.0668
Pr 3.0281 2.0908 5.6124
Pr 6.4768 2.2154 4.4020
Ho 0.0000 0.0000 0.0000
Pr 2.6667 1.8409 1.2498
Pr 0.9198 5.0216 1.7042
Ho 1.1263 2.9706 -1.7143
Mg -1.2032 3.5564 5.3723
Ho 3.1771 -0.0002 -1.7140
Pr 4.3674 5.2712 4.4018
Pr -0.4196 1.8412 2.9148
```

Results
space group	No. 166
total DFT energy (no corrections)	-4.314	eV per atom
formation enthalpy at 0 K	158.2	meV/atom
total moment	0.00	Bohr magnetons per cell


No. 5
The following is a DFT calculation (PBE) of a relaxed structure of Pr8Ho2Mg.

Structure (extended XYZ):
```
11
Lattice="5.5383 -0.1146 0.0760 0.1439 9.3442 4.8693 -0.0739 1.5727 8.3866" Properties=species:S:1:pos:R:3 pbc="T T T"
Pr 0.0952 6.1767 3.2187
Ho 2.8057 3.8409 3.8895
Pr 2.8594 10.1513 10.8398
Pr 2.7544 3.8750 7.5692
Pr 0.0479 3.1092 1.6202
Ho 2.8019 6.9047 9.4128
Mg 5.6815 9.1962 4.9279
Pr 2.7479 0.5944 2.4624
Pr -0.0005 3.1133 5.3608
Pr 0.0697 7.7485 7.8663
Pr 2.8529 6.8705 5.7333
```

Results
space group	No. 8
total DFT energy (no corrections)	-4.313	eV per atom
offset from the most stable computed form	0.1319	eV/atom
formation enthalpy at 0 K	139.9	meV/atom
total moment	0.00	Bohr magnetons per cell


No. 6
The following is a DFT calculation (PBE) of a relaxed structure of Pr4Ho5Mg.

Structure (extended XYZ):
```
10
Lattice="-0.9728 0.1256 -5.7036 -3.3956 -6.9852 -2.5107 -7.4250 2.9873 -1.6040" Properties=species:S:1:pos:R:3 pbc="T T T"
Ho -1.9998 -2.4807 -5.3036
Pr -6.6017 -0.1087 -4.5392
Pr -8.1575 -2.6349 -7.2656
Ho -4.8185 1.9018 -1.7903
Ho -0.6458 0.0834 -3.7863
Mg -0.1764 0.0228 -1.0340
Ho -9.7001 -1.4038 -3.9666
Pr -3.5666 -1.2465 -2.1458
Ho -6.8815 -5.7863 -7.4799
Pr -5.1223 -3.7726 -4.8722
```

Results
space group	No. 107
total DFT energy (no corrections)	-4.192	eV per atom
offset from the most stable computed form	0.1650	eV/atom
formation enthalpy at 0 K	168.0	meV/atom
total moment	0.00	Bohr magnetons per cell


No. 7
The following is a DFT calculation (PBE) of a relaxed structure of Pr7HoMg2.

Structure (extended XYZ):
```
10
Lattice="-1.0590 -1.2310 -5.1182 -7.9122 -4.5829 2.7393 0.2670 9.2642 -2.2834" Properties=species:S:1:pos:R:3 pbc="T T T"
Pr -1.4722 6.3199 -1.2154
Mg -2.7087 4.5073 -3.3403
Pr -1.0032 1.8306 -3.0494
Pr -4.3521 1.7251 -2.3312
Pr -5.8305 4.7864 -2.7615
Ho 0.0000 0.0000 0.0000
Pr -6.1730 -1.6386 1.6713
Pr -7.7010 1.6197 -1.6129
Pr -2.8737 -1.3361 -1.9008
Mg -5.9955 -1.0571 -1.3220
```

Results
space group	No. 65
total DFT energy (no corrections)	-3.619	eV per atom
formation enthalpy at 0 K	503.6	meV/atom
total moment	0.00	Bohr magnetons per cell


No. 8
The following is a DFT calculation (PBE) of a relaxed structure of Pr2Ho6Mg.

Structure (extended XYZ):
```
18
Lattice="5.0296 0.0000 0.1956 0.0000 10.5878 0.0000 -0.4121 0.0000 10.5802" Properties=species:S:1:pos:R:3 pbc="T T T"
Ho -0.2057 3.5417 5.3045
Pr 2.3778 1.7366 3.6546
Pr -0.3430 3.5571 8.8472
Mg -0.2060 0.0000 5.2901
Ho 2.3774 8.8046 3.6036
Ho 2.3771 5.2818 3.6374
Ho 2.1024 8.8358 10.6636
Ho 2.2401 1.7832 7.1722
Ho 2.2404 5.3060 7.1384
Mg 2.5148 5.2939 0.0978
Pr 2.2397 8.8512 7.1212
Ho -0.0686 3.5107 1.7842
Ho 2.5152 1.7521 0.1122
Pr 4.9605 7.0307 1.9286
Ho 4.9613 10.5756 1.9460
Ho -0.3438 0.0122 8.8298
Ho 4.6861 7.0771 8.9916
Ho 4.8232 7.0461 5.4713
```

Results
space group	No. 136
total DFT energy (no corrections)	-4.264	eV per atom
offset from the most stable computed form	0.0098	eV/atom
formation enthalpy at 0 K	27.2	meV/atom
total moment	0.00	Bohr magnetons per cell